Material: BaCoO3
Method: DFT, PBE+U
State: relaxed

Cell and atoms, written as POSCAR:
```
BaCoO3
1.0
5.686 0.000 0.000
-2.843 4.924 0.000
0.000 0.000 13.744
O Ba Co
18 6 6
direct
0.172 0.828 0.918 O
0.657 0.828 0.918 O
0.828 0.657 0.082 O
0.955 0.477 0.250 O
0.523 0.045 0.250 O
0.477 0.955 0.750 O
0.828 0.172 0.418 O
0.828 0.657 0.418 O
0.657 0.828 0.582 O
0.343 0.172 0.418 O
0.172 0.828 0.582 O
0.477 0.523 0.750 O
0.523 0.477 0.250 O
0.343 0.172 0.082 O
0.045 0.523 0.750 O
0.828 0.172 0.082 O
0.172 0.343 0.582 O
0.172 0.343 0.918 O
0.333 0.667 0.412 Ba
0.000 0.000 0.750 Ba
0.667 0.333 0.588 Ba
0.000 0.000 0.250 Ba
0.667 0.333 0.912 Ba
0.333 0.667 0.088 Ba
0.667 0.333 0.157 Co
0.667 0.333 0.343 Co
0.000 0.000 0.500 Co
0.333 0.667 0.843 Co
0.000 0.000 0.000 Co
0.333 0.667 0.657 Co
```

Values from the calculation:
calculated density: 6.32 g/cm³
electronic total energy: -5.96 eV per atom